Model one:
Here is a geometry-optimized AlBiSb2Te structure from Alexandria via LeMat-Bulk. Energies are from PBE.

Cell lengths 5.3309, 5.3309, 5.2736 Å; angles 90.00, 90.00, 90.00 degrees
Fractional coordinates of all 5 atoms:
1 Sb 0.0000 0.5000 0.0000
2 Sb 0.5000 0.0000 0.0000
3 Al 0.0000 0.0000 0.0000
4 Te 0.0000 0.0000 0.5000
5 Bi 0.5000 0.5000 0.5000

Computed properties:
The value obtained for the density is 6.7 g/cm3.

---

Model two:
Here is a geometry-optimized AlBiSb2Te structure from Alexandria via LeMat-Bulk. Energies are from PBE.

Cell lengths 5.8243, 5.8243, 6.0412 Å; angles 90.00, 90.00, 90.00 degrees
Fractional coordinates of all 5 atoms:
1 Sb 0.5000 0.0000 0.0000
2 Sb 0.0000 0.5000 0.0000
3 Al 0.5000 0.5000 0.5000
4 Te 0.0000 0.0000 0.5000
5 Bi 0.0000 0.0000 0.0000

Computed properties:
The value obtained for the density is 4.9 g/cm3.

---

Order from most stable to least stable according to the calculation: model one, model two

---

Model one:
Here is a geometry-optimized Sc3AlBi structure from Alexandria via LeMat-Bulk. Energies are from PBE.

Cell lengths 5.1154, 5.1154, 5.1154 Å; angles 90.00, 90.00, 90.00 degrees
Fractional coordinates of all 5 atoms:
1 Al 0.0000 0.0000 0.0000
2 Bi 0.5000 0.5000 0.5000
3 Sc 0.0000 0.0000 0.5000
4 Sc 0.0000 0.5000 0.0000
5 Sc 0.5000 0.0000 0.0000

Computed properties:
The value obtained for the density is 4.6 g/cm3.

---

Model two:
Here is a geometry-optimized Sc3AlBi structure from Alexandria via LeMat-Bulk. Energies are from PBE.

Cell lengths 5.3759, 5.3759, 5.3759 Å; angles 90.00, 90.00, 90.00 degrees
Fractional coordinates of all 5 atoms:
1 Bi 0.0000 0.0000 0.0000
2 Al 0.5000 0.5000 0.5000
3 Sc 0.0000 0.5000 0.0000
4 Sc 0.5000 0.0000 0.0000
5 Sc 0.0000 0.0000 0.5000

Computed properties:
The value obtained for the density is 4.0 g/cm3.

---

Order from most stable to least stable according to the calculation: model one, model two

---

Model one:
Here is a geometry-optimized Al3BiSe structure from Alexandria via LeMat-Bulk. Energies are from PBE.

Cell lengths 5.0403, 5.0403, 5.0403 Å; angles 90.00, 90.00, 90.00 degrees
Fractional coordinates of all 5 atoms:
1 Al 0.0000 0.5000 0.0000
2 Al 0.0000 0.0000 0.5000
3 Al 0.5000 0.0000 0.0000
4 Se 0.0000 0.0000 0.0000
5 Bi 0.5000 0.5000 0.5000

Computed properties:
The value obtained for the density is 4.8 g/cm3.

---

Model two:
Here is a geometry-optimized Al3BiSe structure from Alexandria via LeMat-Bulk. Energies are from PBE.

Cell lengths 5.5405, 5.5405, 5.5405 Å; angles 90.00, 90.00, 90.00 degrees
Fractional coordinates of all 5 atoms:
1 Bi 0.0000 0.0000 0.0000
2 Al 0.0000 0.0000 0.5000
3 Al 0.0000 0.5000 0.0000
4 Al 0.5000 0.0000 0.0000
5 Se 0.5000 0.5000 0.5000

Computed properties:
The value obtained for the density is 3.6 g/cm3.

---

Order from most stable to least stable according to the calculation: model one, model two